Crystalline TaSCl3 at its relaxed geometry. Source: Alexandria via LeMat-Bulk, functional GGA-PBE.

energy relative to the elements, uncorrected = -1.166 eV per atom
D(E_F) = 0.00 states/eV per cell
DFT total energy = -5.470 eV/atom

a b c (Å): 6.324 11.600 11.421
angles (deg): 102.69 90.00 90.00
Sites, in units of the cell vectors:
Ta (0.848, 0.040, 0.285)
Ta (0.348, 0.460, 0.215)
Ta (0.652, 0.540, 0.785)
Ta (0.152, 0.960, 0.715)
Cl (0.760, 0.687, 0.939)
Cl (0.738, 0.860, 0.311)
Cl (0.240, 0.313, 0.061)
Cl (0.759, 0.572, 0.605)
Cl (0.762, 0.360, 0.811)
Cl (0.238, 0.640, 0.189)
Cl (0.741, 0.072, 0.105)
Cl (0.241, 0.428, 0.395)
Cl (0.740, 0.187, 0.439)
Cl (0.260, 0.813, 0.561)
Cl (0.259, 0.928, 0.895)
Cl (0.262, 0.140, 0.689)
S (0.689, 0.462, 0.215)
S (0.189, 0.038, 0.285)
S (0.311, 0.538, 0.785)
S (0.811, 0.962, 0.715)